Record 1
Entry from Alexandria via LeMat-Bulk: a geometry-optimized TlAgMo2 structure (GGA-PBE).

Cell lengths 5.3715, 5.3715, 5.3715 Å; angles 137.08, 137.08, 62.32 degrees
Last column: nearest neighbours and their distance in Å.
Element x y z (fractional)
Tl: 0.2500 0.7500 0.5000  4 Ag 2.78, 8 Mo 3.02
Mo: 0.5000 0.5000 0.0000  4 Mo 2.78, 4 Ag 3.02, 4 Tl 3.02
Ag: 0.7500 0.2500 0.5000  4 Tl 2.78, 8 Mo 3.02
Mo: 0.0000 0.0000 0.0000  4 Mo 2.78, 4 Tl 3.02, 4 Ag 3.02

- relative energy among the computed polymorphs (meV per atom) = 200
- E (eV/atom) = -6.079


Record 2
Entry from Alexandria via LeMat-Bulk: a geometry-optimized Tl2InAgBr5 structure (GGA-PBE).

Cell lengths 5.0248, 9.8312, 13.0219 Å; angles 90.00, 90.00, 104.81 degrees
Last column: nearest neighbours and their distance in Å.
Element x y z (fractional)
Br: 0.2980 0.5960 0.3292  1 In 2.76, 1 Ag 2.89
Br: 0.0462 0.0923 0.0156  2 In 2.74
Br: 0.5035 0.0069 0.7700  1 In 2.85
Br: 0.6361 0.2722 0.4994  1 Ag 2.67
Ag: 0.7501 0.5002 0.6189  4 Br 2.67-2.89
Br: 0.4965 0.9931 0.2700  1 In 2.85
Tl: 0.1114 0.2229 0.6734  8 Br 3.42-3.75, 2 Ag 3.71
Br: 0.9538 0.9077 0.5156  2 In 2.74
Tl: 0.8819 0.7638 0.8273  5 Br 3.38-3.49, 1 Ag 3.69
Br: 0.7020 0.4040 0.8292  1 In 2.76, 1 Ag 2.89
In: 0.4153 0.8307 0.4537  4 Br 2.74-2.85
Ag: 0.2499 0.4998 0.1189  4 Br 2.67-2.89
Tl: 0.1181 0.2362 0.3273  5 Br 3.38-3.49, 1 Ag 3.69
Br: 0.3639 0.7278 0.9994  1 Ag 2.67
Br: 0.6930 0.3859 0.1365  2 Ag 2.75
Tl: 0.8886 0.7771 0.1734  8 Br 3.42-3.75, 2 Ag 3.71
Br: 0.3070 0.6141 0.6365  2 Ag 2.75
In: 0.5847 0.1693 0.9537  4 Br 2.74-2.85

- E (eV/atom) = -2.740


Record 3
Entry from Alexandria via LeMat-Bulk: a geometry-optimized Ta4Mo structure (GGA-PBE).

Cell lengths 5.2060, 5.2060, 5.2060 Å; angles 109.47, 109.47, 109.47 degrees
Last column: nearest neighbours and their distance in Å.
Element x y z (fractional)
Ta: 0.5000 0.0000 0.0000  2 Mo 2.60
Ta: 0.5000 0.5000 0.5000  2 Mo 2.60
Mo: 0.0000 0.0000 0.0000  8 Ta 2.60
Ta: 0.0000 0.5000 0.0000  2 Mo 2.60
Ta: 0.0000 0.0000 0.5000  2 Mo 2.60

- relative energy among the computed polymorphs (meV per atom) = 1272
- E (eV/atom) = -10.470


Record 4
Entry from Alexandria via LeMat-Bulk: a geometry-optimized Y2Hf2Rh structure (GGA-PBE).

Cell lengths 6.8110, 6.8110, 5.2922 Å; angles 90.00, 90.00, 90.00 degrees
Last column: nearest neighbours and their distance in Å.
Element x y z (fractional)
Rh: 0.0000 0.0000 0.0000  4 Hf 2.59
Y: 0.1666 0.6666 0.5000  6 Hf 3.17-3.42, 1 Y 3.21
Y: 0.6666 0.8334 0.5000  6 Hf 3.17-3.42, 1 Y 3.21
Hf: 0.6522 0.1522 0.0000  2 Rh 2.59
Hf: 0.8478 0.6522 0.0000  2 Rh 2.59
Hf: 0.3478 0.8478 0.0000  2 Rh 2.59
Y: 0.3334 0.1666 0.5000  6 Hf 3.17-3.42, 1 Y 3.21
Rh: 0.5000 0.5000 0.0000  4 Hf 2.59
Hf: 0.1522 0.3478 0.0000  2 Rh 2.59
Y: 0.8334 0.3334 0.5000  6 Hf 3.17-3.42, 1 Y 3.21

- E (eV/atom) = -8.250


Which value of E does entry 3 give? -10.470 eV/atom


Which formula does entry 2 have? Tl2InAgBr5